(1)
VASP calculation (PBE) on an optimized crystal structure of CaCoP2Cl.

```
data_CaCoP2Cl
_chemical_formula_sum 'Ca1 Co1 P2 Cl1'
_symmetry_space_group_name_H-M 'P 4/m m m'
_symmetry_Int_Tables_number 123
_symmetry_space_group_name_Hall '-P 4 2'
_cell_length_a 4.1814
_cell_length_b 4.1814
_cell_length_c 6.1945
_cell_angle_alpha 90.00
_cell_angle_beta 90.00
_cell_angle_gamma 90.00
loop_
_atom_site_label
_atom_site_type_symbol
_atom_site_fract_x
_atom_site_fract_y
_atom_site_fract_z
_atom_site_occupancy
Ca1 Ca 0.0000 0.0000 0.0000 1
Co1 Co 0.5000 0.5000 0.5000 1
P1 P 0.0000 0.5000 0.5000 1
Cl1 Cl 0.5000 0.5000 0.0000 1
```

distance to the lowest polymorph of the same formula = 0.0 kJ/mol of atoms
theoretical density = 3.01 g cm⁻³
formation energy from raw total energies = -0.470 eV/atom



(2)
VASP calculation (PBE) on an optimized crystal structure of Sc2Rh.

```
data_Sc2Rh
_chemical_formula_sum 'Sc8 Rh4'
_symmetry_space_group_name_H-M 'C m c 21'
_symmetry_Int_Tables_number 36
_cell_length_a 3.4710
_cell_length_b 11.2187
_cell_length_c 6.3092
_cell_angle_alpha 90.00
_cell_angle_beta 90.00
_cell_angle_gamma 90.00
loop_
_symmetry_equiv_pos_as_xyz
'x,y,z'
'-x,-y,z+1/2'
'-x,y,z'
'x,-y,z+1/2'
'x+1/2,y+1/2,z'
'-x+1/2,-y+1/2,z+1/2'
'-x+1/2,y+1/2,z'
'x+1/2,-y+1/2,z+1/2'
loop_
_atom_site_label
_atom_site_type_symbol
_atom_site_fract_x
_atom_site_fract_y
_atom_site_fract_z
_atom_site_occupancy
Sc1 Sc 0.0000 0.0223 0.0000 1
Sc2 Sc 0.0000 0.2912 0.8128 1
Rh1 Rh 0.0000 0.3807 0.2140 1
```

theoretical density = 5.21 g cm⁻³
DFT formation energy = -0.6359 eV/atom



(3)
VASP calculation (PBE) on an optimized crystal structure of CdIn2Cu.

```
data_CdIn2Cu
_chemical_formula_sum 'Cd1 In2 Cu1'
_symmetry_space_group_name_H-M 'P 4/m m m'
_symmetry_Int_Tables_number 123
_symmetry_space_group_name_Hall '-P 4 2'
_cell_length_a 3.4796
_cell_length_b 3.4796
_cell_length_c 7.2903
_cell_angle_alpha 90.00
_cell_angle_beta 90.00
_cell_angle_gamma 90.00
loop_
_atom_site_label
_atom_site_type_symbol
_atom_site_fract_x
_atom_site_fract_y
_atom_site_fract_z
_atom_site_occupancy
Cd1 Cd 0.0000 0.0000 0.0000 1
In1 In 0.5000 0.5000 0.2863 1
Cu1 Cu 0.0000 0.0000 0.5000 1
```

theoretical density = 7.63 g cm⁻³
DFT formation energy = 0.1345 eV/atom



(4)
VASP calculation (PBE) on an optimized crystal structure of Pa2PbAu.

```
data_Pa2PbAu
_chemical_formula_sum 'Pa8 Pb4 Au4'
_symmetry_space_group_name_H-M 'F m -3 m'
_symmetry_Int_Tables_number 225
_symmetry_space_group_name_Hall '-F 4 2 3'
_cell_length_a 7.4896
_cell_length_b 7.4896
_cell_length_c 7.4896
_cell_angle_alpha 90.00
_cell_angle_beta 90.00
_cell_angle_gamma 90.00
loop_
_atom_site_label
_atom_site_type_symbol
_atom_site_fract_x
_atom_site_fract_y
_atom_site_fract_z
_atom_site_occupancy
Pa1 Pa 0.2500 0.2500 0.2500 1
Pb1 Pb 0.0000 0.0000 0.0000 1
Au1 Au 0.0000 0.0000 0.5000 1
```

distance to the lowest polymorph of the same formula = 19.0 kJ/mol of atoms
theoretical density = 13.70 g cm⁻³
DFT formation energy = 0.1217 eV/atom



Electronic total energy
In order: -24.1; -87.7; -10.0; -102.0
Unit: eV for the cell shown